Here is a relaxed Ni2C crystal from Alexandria. Energies are from GGA-PBE.

The calculation puts the energy above the lowest structure with this stoichiometry at 15.7 kJ per mole of atoms. The value obtained for the total energy is -39.52 eV per cell. The density of states at the Fermi level comes out at 2.50 states/eV per cell.

The space group is Imm2 (No. 44) and the conventional cell measures 2.7395, 4.9348 and 4.3078 Å, with angles of 90.00, 90.00 and 90.00 degrees. Symmetry generates all atoms from Ni at (0.0000, 0.2440, 0.0000) and C at (0.0000, 0.5000, 0.6572).


Here is a relaxed NiC3 crystal from Alexandria. Energies are from GGA-PBE.

The calculation puts the energy above the lowest structure with this stoichiometry at 223.0 kJ per mole of atoms. The value obtained for the total energy is -43.20 eV per cell. The density of states at the Fermi level comes out at 3.72 states/eV per cell.

The space group is I4/mmm (No. 139) and the conventional cell measures 3.2653, 3.2653 and 5.8653 Å, with angles of 90.00, 90.00 and 90.00 degrees. Symmetry generates all atoms from Ni at (0.0000, 0.0000, 0.0000), C at (0.0000, 0.0000, 0.5000) and C at (0.0000, 0.5000, 0.2500).